[1]
Here is crystalline Cs2In3Te5 at its relaxed geometry from Alexandria via LeMat-Bulk. Energies are from PBE-GGA.

a = 12.944 Å, b = 12.944 Å, c = 12.944 Å
α = 135.31°, β = 59.34°, γ = 143.04°
Fractional coordinates of all 20 atoms:
Cs 0.189 0.170 0.359
Cs 0.311 0.670 0.981
Cs 0.689 0.330 0.019
Cs 0.811 0.830 0.641
In 0.094 0.556 0.649
In 0.250 0.250 0.000
In 0.406 0.056 0.462
In 0.594 0.944 0.538
In 0.750 0.750 0.000
In 0.906 0.444 0.351
Te 0.067 0.750 0.317
Te 0.072 0.870 0.943
Te 0.250 0.750 0.500
Te 0.428 0.370 0.798
Te 0.433 0.750 0.683
Te 0.567 0.250 0.317
Te 0.572 0.630 0.202
Te 0.750 0.250 0.500
Te 0.928 0.130 0.057
Te 0.933 0.250 0.683

Output
**Volume**: 908.4 Å³ per cell
**Total magnetization**: 0.000 Bohr magnetons per cell
**Raw total energy**: -3.109 eV per atom
**Symmetry**: Ibam
**Crystal system**: orthorhombic

[2]
Here is crystalline Cs2InTe3 at its relaxed geometry from Alexandria via LeMat-Bulk. Energies are from PBE-GGA.

a = 9.386 Å, b = 9.386 Å, c = 6.616 Å
α = 90.08°, β = 90.08°, γ = 72.09°
Fractional coordinates of all 12 atoms:
Cs 0.021 0.689 0.750
Cs 0.311 0.979 0.750
Cs 0.689 0.021 0.250
Cs 0.979 0.311 0.250
In 0.388 0.612 0.250
In 0.612 0.388 0.750
Te 0.139 0.861 0.250
Te 0.355 0.356 0.503
Te 0.356 0.355 0.003
Te 0.644 0.645 0.997
Te 0.645 0.644 0.497
Te 0.861 0.139 0.750

Output
**Volume**: 554.6 Å³ per cell
**Total magnetization**: 0.000 Bohr magnetons per cell
**Raw total energy**: -3.050 eV per atom
**Symmetry**: C2/c
**Crystal system**: monoclinic

[3]
Here is crystalline CsInTe3 at its relaxed geometry from Alexandria via LeMat-Bulk. Energies are from PBE-GGA.

a = 6.445 Å, b = 6.445 Å, c = 6.445 Å
α = 90.00°, β = 90.00°, γ = 90.00°
Fractional coordinates of all 5 atoms:
Cs 0.000 0.000 0.000
In 0.500 0.500 0.500
Te 0.000 0.000 0.500
Te 0.000 0.500 0.000
Te 0.500 0.000 0.000

Output
**Volume**: 267.7 Å³ per cell
**Energy above the lowest structure with this stoichiometry**: 23.11 kcal/mol of atoms
**Total magnetization**: 0.001 Bohr magnetons per cell
**Symmetry**: Pm-3m
**Crystal system**: cubic

[4]
Here is crystalline CsInTe at its relaxed geometry from Alexandria via LeMat-Bulk. Energies are from PBE-GGA.

a = 4.722 Å, b = 7.734 Å, c = 8.573 Å
α = 65.62°, β = 74.05°, γ = 72.29°
Fractional coordinates of all 6 atoms:
Cs 0.060 0.204 0.179
Cs 0.940 0.796 0.821
In 0.330 0.259 0.579
In 0.670 0.741 0.421
Te 0.324 0.619 0.233
Te 0.676 0.381 0.767

Output
**Volume**: 267.6 Å³ per cell
**Energy above the lowest structure with this stoichiometry**: 0.52 kcal/mol of atoms
**Total magnetization**: 0.000 Bohr magnetons per cell
**Symmetry**: P-1
**Crystal system**: triclinic

[5]
Here is crystalline CsIn6Te8 at its relaxed geometry from Alexandria via LeMat-Bulk. Energies are from PBE-GGA.

a = 8.405 Å, b = 8.405 Å, c = 8.405 Å
α = 97.17°, β = 97.17°, γ = 97.17°
Fractional coordinates of all 15 atoms:
Cs 0.000 0.000 0.000
In 0.179 0.306 0.624
In 0.306 0.624 0.179
In 0.376 0.821 0.694
In 0.624 0.179 0.306
In 0.694 0.376 0.821
In 0.821 0.694 0.376
Te 0.151 0.606 0.839
Te 0.161 0.849 0.394
Te 0.328 0.328 0.328
Te 0.394 0.161 0.849
Te 0.606 0.839 0.151
Te 0.672 0.672 0.672
Te 0.839 0.151 0.606
Te 0.849 0.394 0.161

Output
**Volume**: 578.5 Å³ per cell
**Energy above the lowest structure with this stoichiometry**: 0.00 kcal/mol of atoms
**Total magnetization**: 0.000 Bohr magnetons per cell
**Symmetry**: R-3
**Crystal system**: trigonal

[6]
Here is crystalline CsIn2Te3 at its relaxed geometry from Alexandria via LeMat-Bulk. Energies are from PBE-GGA.

a = 13.308 Å, b = 13.308 Å, c = 8.725 Å
α = 104.18°, β = 104.18°, γ = 22.67°
Fractional coordinates of all 12 atoms:
Cs 0.147 0.147 0.440
Cs 0.853 0.853 0.560
In 0.200 0.200 0.019
In 0.441 0.441 0.080
In 0.559 0.559 0.920
In 0.800 0.800 0.981
Te 0.095 0.095 0.819
Te 0.277 0.277 0.821
Te 0.449 0.449 0.763
Te 0.551 0.551 0.237
Te 0.723 0.723 0.179
Te 0.905 0.905 0.181

Output
**Volume**: 576.8 Å³ per cell
**Total magnetization**: 0.000 Bohr magnetons per cell
**Raw total energy**: -3.130 eV per atom
**Symmetry**: C2/m
**Crystal system**: monoclinic

[7]
Here is crystalline CsIn2Te at its relaxed geometry from Alexandria via LeMat-Bulk. Energies are from PBE-GGA.

a = 7.678 Å, b = 7.678 Å, c = 7.678 Å
α = 103.14°, β = 103.14°, γ = 123.05°
Fractional coordinates of all 8 atoms:
Cs 0.000 0.000 0.000
Cs 0.750 0.250 0.500
In 0.177 0.125 0.552
In 0.375 0.823 0.948
In 0.573 0.625 0.448
In 0.875 0.427 0.052
Te 0.250 0.750 0.500
Te 0.500 0.500 0.000

Output
**Volume**: 333.5 Å³ per cell
**Energy above the lowest structure with this stoichiometry**: 0.00 kcal/mol of atoms
**Total magnetization**: 0.000 Bohr magnetons per cell
**Symmetry**: I-42d
**Crystal system**: tetragonal

[8]
Here is crystalline Cs5In2Te4 at its relaxed geometry from Alexandria via LeMat-Bulk. Energies are from PBE-GGA.

a = 9.973 Å, b = 9.973 Å, c = 10.202 Å
α = 94.22°, β = 94.22°, γ = 33.95°
Fractional coordinates of all 11 atoms:
Cs 0.000 0.000 0.000
Cs 0.341 0.341 0.492
Cs 0.342 0.342 0.017
Cs 0.658 0.658 0.983
Cs 0.659 0.659 0.508
In 0.026 0.026 0.645
In 0.974 0.974 0.355
Te 0.177 0.177 0.747
Te 0.489 0.489 0.746
Te 0.511 0.511 0.254
Te 0.823 0.823 0.253

Output
**Volume**: 565.1 Å³ per cell
**Total magnetization**: 0.000 Bohr magnetons per cell
**Raw total energy**: -2.823 eV per atom
**Symmetry**: C2/m
**Crystal system**: monoclinic

[9]
Here is crystalline Cs3In5Te12 at its relaxed geometry from Alexandria via LeMat-Bulk. Energies are from PBE-GGA.

a = 16.942 Å, b = 16.942 Å, c = 16.942 Å
α = 109.47°, β = 109.47°, γ = 109.47°
Fractional coordinates of all 80 atoms:
Cs 0.125 0.250 0.375
Cs 0.125 0.375 0.750
Cs 0.250 0.375 0.125
Cs 0.250 0.875 0.625
Cs 0.375 0.125 0.250
Cs 0.375 0.750 0.125
Cs 0.625 0.250 0.875
Cs 0.625 0.875 0.750
Cs 0.750 0.125 0.375
Cs 0.750 0.625 0.875
Cs 0.875 0.625 0.250
Cs 0.875 0.750 0.625
In 0.000 0.000 0.000
In 0.000 0.000 0.500
In 0.000 0.500 0.000
In 0.000 0.500 0.500
In 0.125 0.750 0.875
In 0.125 0.875 0.250
In 0.250 0.125 0.875
In 0.250 0.625 0.375
In 0.375 0.250 0.625
In 0.375 0.625 0.750
In 0.500 0.000 0.000
In 0.500 0.000 0.500
In 0.500 0.500 0.000
In 0.500 0.500 0.500
In 0.625 0.375 0.250
In 0.625 0.750 0.375
In 0.750 0.375 0.625
In 0.750 0.875 0.125
In 0.875 0.125 0.750
In 0.875 0.250 0.125
Te 0.001 0.202 0.056
Te 0.001 0.299 0.945
Te 0.055 0.556 0.354
Te 0.055 0.999 0.701
Te 0.056 0.001 0.202
Te 0.056 0.555 0.854
Te 0.146 0.702 0.701
Te 0.146 0.944 0.445
Te 0.201 0.202 0.646
Te 0.201 0.499 0.555
Te 0.202 0.056 0.001
Te 0.202 0.646 0.201
Te 0.298 0.299 0.854
Te 0.298 0.499 0.444
Te 0.299 0.854 0.298
Te 0.299 0.945 0.001
Te 0.354 0.055 0.556
Te 0.354 0.799 0.798
Te 0.444 0.298 0.499
Te 0.444 0.646 0.945
Te 0.445 0.146 0.944
Te 0.445 0.799 0.501
Te 0.499 0.444 0.298
Te 0.499 0.555 0.201
Te 0.501 0.445 0.799
Te 0.501 0.556 0.702
Te 0.555 0.201 0.499
Te 0.555 0.854 0.056
Te 0.556 0.354 0.055
Te 0.556 0.702 0.501
Te 0.646 0.201 0.202
Te 0.646 0.945 0.444
Te 0.701 0.055 0.999
Te 0.701 0.146 0.702
Te 0.702 0.501 0.556
Te 0.702 0.701 0.146
Te 0.798 0.354 0.799
Te 0.798 0.944 0.999
Te 0.799 0.501 0.445
Te 0.799 0.798 0.354
Te 0.854 0.056 0.555
Te 0.854 0.298 0.299
Te 0.944 0.445 0.146
Te 0.944 0.999 0.798
Te 0.945 0.001 0.299
Te 0.945 0.444 0.646
Te 0.999 0.701 0.055
Te 0.999 0.798 0.944

Output
**Volume**: 3743.3 Å³ per cell
**Total magnetization**: 0.000 Bohr magnetons per cell
**Raw total energy**: -2.994 eV per atom
**Symmetry**: Ia-3d
**Crystal system**: cubic

[10]
Here is crystalline CsIn2Te at its relaxed geometry from Alexandria via LeMat-Bulk. Energies are from PBE-GGA.

a = 5.922 Å, b = 5.922 Å, c = 5.922 Å
α = 60.00°, β = 60.00°, γ = 60.00°
Fractional coordinates of all 4 atoms:
Cs 0.000 0.000 0.000
In 0.250 0.250 0.250
In 0.750 0.750 0.750
Te 0.500 0.500 0.500

Output
**Volume**: 146.9 Å³ per cell
**Energy above the lowest structure with this stoichiometry**: 3.25 kcal/mol of atoms
**Total magnetization**: 0.000 Bohr magnetons per cell
**Symmetry**: Fm-3m
**Crystal system**: cubic

[11]
Here is crystalline CsInTe at its relaxed geometry from Alexandria via LeMat-Bulk. Energies are from PBE-GGA.

a = 4.609 Å, b = 5.763 Å, c = 10.290 Å
α = 90.00°, β = 102.78°, γ = 90.00°
Fractional coordinates of all 6 atoms:
Cs 0.172 0.250 0.348
Cs 0.828 0.750 0.652
In 0.027 0.750 0.055
In 0.973 0.250 0.945
Te 0.377 0.250 0.751
Te 0.623 0.750 0.249

Output
**Volume**: 266.5 Å³ per cell
**Energy above the lowest structure with this stoichiometry**: 0.00 kcal/mol of atoms
**Total magnetization**: 0.000 Bohr magnetons per cell
**Symmetry**: P2_1/m
**Crystal system**: monoclinic

Repeat the ninth record exactly.
Here is crystalline Cs3In5Te12 at its relaxed geometry from Alexandria via LeMat-Bulk. Energies are from PBE-GGA.

a = 16.942 Å, b = 16.942 Å, c = 16.942 Å
α = 109.47°, β = 109.47°, γ = 109.47°
Fractional coordinates of all 80 atoms:
Cs 0.125 0.250 0.375
Cs 0.125 0.375 0.750
Cs 0.250 0.375 0.125
Cs 0.250 0.875 0.625
Cs 0.375 0.125 0.250
Cs 0.375 0.750 0.125
Cs 0.625 0.250 0.875
Cs 0.625 0.875 0.750
Cs 0.750 0.125 0.375
Cs 0.750 0.625 0.875
Cs 0.875 0.625 0.250
Cs 0.875 0.750 0.625
In 0.000 0.000 0.000
In 0.000 0.000 0.500
In 0.000 0.500 0.000
In 0.000 0.500 0.500
In 0.125 0.750 0.875
In 0.125 0.875 0.250
In 0.250 0.125 0.875
In 0.250 0.625 0.375
In 0.375 0.250 0.625
In 0.375 0.625 0.750
In 0.500 0.000 0.000
In 0.500 0.000 0.500
In 0.500 0.500 0.000
In 0.500 0.500 0.500
In 0.625 0.375 0.250
In 0.625 0.750 0.375
In 0.750 0.375 0.625
In 0.750 0.875 0.125
In 0.875 0.125 0.750
In 0.875 0.250 0.125
Te 0.001 0.202 0.056
Te 0.001 0.299 0.945
Te 0.055 0.556 0.354
Te 0.055 0.999 0.701
Te 0.056 0.001 0.202
Te 0.056 0.555 0.854
Te 0.146 0.702 0.701
Te 0.146 0.944 0.445
Te 0.201 0.202 0.646
Te 0.201 0.499 0.555
Te 0.202 0.056 0.001
Te 0.202 0.646 0.201
Te 0.298 0.299 0.854
Te 0.298 0.499 0.444
Te 0.299 0.854 0.298
Te 0.299 0.945 0.001
Te 0.354 0.055 0.556
Te 0.354 0.799 0.798
Te 0.444 0.298 0.499
Te 0.444 0.646 0.945
Te 0.445 0.146 0.944
Te 0.445 0.799 0.501
Te 0.499 0.444 0.298
Te 0.499 0.555 0.201
Te 0.501 0.445 0.799
Te 0.501 0.556 0.702
Te 0.555 0.201 0.499
Te 0.555 0.854 0.056
Te 0.556 0.354 0.055
Te 0.556 0.702 0.501
Te 0.646 0.201 0.202
Te 0.646 0.945 0.444
Te 0.701 0.055 0.999
Te 0.701 0.146 0.702
Te 0.702 0.501 0.556
Te 0.702 0.701 0.146
Te 0.798 0.354 0.799
Te 0.798 0.944 0.999
Te 0.799 0.501 0.445
Te 0.799 0.798 0.354
Te 0.854 0.056 0.555
Te 0.854 0.298 0.299
Te 0.944 0.445 0.146
Te 0.944 0.999 0.798
Te 0.945 0.001 0.299
Te 0.945 0.444 0.646
Te 0.999 0.701 0.055
Te 0.999 0.798 0.944

Output
**Volume**: 3743.3 Å³ per cell
**Total magnetization**: 0.000 Bohr magnetons per cell
**Raw total energy**: -2.994 eV per atom
**Symmetry**: Ia-3d
**Crystal system**: cubic

Q: What is the volume in the ninth record?
A: 3743.3 Å³ per cell

Q: Which of these has the highest volume?
A: Cs3In5Te12